A PBEsol-optimized structure of LaZr2Si, computed with SCAN.

Properties
Total moment in μB per atom: 0.001
Formation energy (no corrections) in meV per atom: -242
Total DFT energy (no corrections) in eV/atom: -28.872

Cell lengths 3.6507, 3.6507, 6.7653 Å; angles 90.00, 90.00, 90.00 degrees
Sites, in units of the cell vectors:
Zr  0.5000  0.5000  0.2108
Zr  0.0000  0.0000  0.9530
La  0.0000  0.0000  0.5330
Si  0.5000  0.5000  0.8031

A PBEsol-optimized structure of LaZr2Si, computed with SCAN.

Properties
Total moment in μB per atom: 0.000
Formation energy (no corrections) in meV per atom: -220
Total DFT energy (no corrections) in eV/atom: -28.849

Cell lengths 4.1227, 4.2642, 5.6643 Å; angles 90.00, 111.34, 90.00 degrees
Sites, in units of the cell vectors:
La  0.5276  0.0000  0.0552
Si  0.9484  0.5000  0.8967
Zr  0.7910  0.0000  0.5819
Zr  0.2363  0.5000  0.4727

A PBEsol-optimized structure of LaZr2Si, computed with SCAN.

Properties
Total moment in μB per atom: 0.000
Formation energy (no corrections) in meV per atom: -131
Total DFT energy (no corrections) in eV/atom: -28.761

Cell lengths 4.4253, 4.4253, 5.3606 Å; angles 114.38, 114.38, 90.00 degrees
Sites, in units of the cell vectors:
Zr  0.2500  0.7500  0.5000
Si  0.0000  0.0000  0.0000
Zr  0.7500  0.2500  0.5000
La  0.5000  0.5000  0.0000

- Which formula does entry 3 have?
  LaZr2Si

- Among the records above, which one has the highest total moment?
  number 1